First-principles (PBE) data for an optimized crystal structure of HfZr2Ni2As4Pd2, as listed in the Open Quantum Materials Database.

The space group is Pm (No. 6) and the conventional cell measures 6.5640, 3.8816 and 7.4600 Å, with angles of 90.00, 90.35 and 90.00 degrees. The inequivalent atoms are Hf at (0.0000, 0.0000, 0.0000), Zr at (0.0647, 0.5000, 0.6249), Zr at (0.5566, 0.5000, 0.4807), Ni at (0.1500, 0.5000, 0.2476), Ni at (0.6754, 0.5000, 0.8591), As at (0.2823, 0.0000, 0.4008), As at (0.2909, 0.5000, 0.9526), As at (0.7508, 0.5000, 0.1665), As at (0.7704, 0.0000, 0.6926), Pd at (0.3808, 0.0000, 0.7507) and Pd at (0.8894, 0.0000, 0.3658).

Its volume is 190.1 Å³/f.u. Its relative energy among the computed polymorphs is 16 meV/atom. The crystal system is monoclinic.